(P)
A plane-wave DFT calculation with PBE-GGA was carried out for In3NiPb after structural relaxation.

Cell: 5.8235 5.8235 5.8235 Å, 90.00 90.00 90.00°
With the nearest neighbours (Å) after each atom.
Space group Pm-3m (No. 221)
Asymmetric unit:
In (0.0000, 0.0000, 0.5000)  2 Pb 2.91
Ni (0.5000, 0.5000, 0.5000)  12 In 4.12
Pb (0.0000, 0.0000, 0.0000)  6 In 2.91

Properties
The value obtained for the volume is 39.50 A^3/atom. Its density is 5.13 g cm⁻³.

***

(Q)
A plane-wave DFT calculation with PBE-GGA was carried out for In3NiPb after structural relaxation.

Cell: 5.0405 5.0405 5.0405 Å, 90.00 90.00 90.00°
With the nearest neighbours (Å) after each atom.
Space group Pm-3m (No. 221)
Asymmetric unit:
In (0.0000, 0.0000, 0.5000)  2 Ni 2.52
Ni (0.0000, 0.0000, 0.0000)  6 In 2.52
Pb (0.5000, 0.5000, 0.5000)  12 In 3.56

Properties
The value obtained for the volume is 25.61 A^3/atom. Its density is 7.91 g cm⁻³.

***

Ranking the structures above by stability puts (Q) first and (P) last.